Record 1
VASP calculation (GGA-PBE) on a geometry-optimized CuTe4Pt structure.

Cell: 7.509 7.509 7.509 Å, 107.77 107.77 112.94°
Sites, in units of the cell vectors:
Pt: 0.995 0.495 0.500
Te: 0.694 0.505 0.189
Pt: 0.245 0.245 0.000
Cu: 0.505 0.005 0.500
Te: 0.745 0.437 0.692
Te: 0.187 0.995 0.192
Te: 0.316 0.505 0.811
Te: 0.804 0.995 0.808
Cu: 0.755 0.755 0.000
Te: 0.255 0.566 0.311
Te: 0.745 0.054 0.308
Te: 0.255 0.944 0.689

Output
Size of the total moment = 0.0 μB per cell
Relative energy among the computed polymorphs = 0.156 eV/atom
Formation energy (no corrections) = -0.002 eV per atom
Calculated density = 7.9 g cm⁻³

=====

Record 2
VASP calculation (GGA-PBE) on a geometry-optimized Cu2TePt2 structure.

Cell: 7.399 7.399 2.957 Å, 90.00 90.00 90.00°
Sites, in units of the cell vectors:
Pt: 0.667 0.833 0.500
Te: 0.500 0.500 0.000
Cu: 0.374 0.874 0.000
Cu: 0.626 0.126 0.000
Te: 0.000 0.000 0.000
Pt: 0.333 0.167 0.500
Pt: 0.167 0.667 0.500
Pt: 0.833 0.333 0.500
Cu: 0.126 0.374 0.000
Cu: 0.874 0.626 0.000

Output
Size of the total moment = 0.0 μB per cell
Relative energy among the computed polymorphs = 0.060 eV/atom
Formation energy (no corrections) = 0.039 eV per atom
Calculated density = 13.2 g cm⁻³

=====

Record 3
VASP calculation (GGA-PBE) on a geometry-optimized CuTePt2 structure.

Cell: 3.481 3.500 6.587 Å, 57.88 90.00 90.00°
Sites, in units of the cell vectors:
Pt: 0.000 0.488 0.512
Te: 0.500 0.250 0.250
Pt: 0.000 0.012 0.988
Cu: 0.500 0.750 0.750

Output
Size of the total moment = 0.0 μB per cell
Formation energy (no corrections) = 0.003 eV per atom
Calculated density = 14.2 g cm⁻³

=====

Record 4
VASP calculation (GGA-PBE) on a geometry-optimized Cu2TePt2 structure.

Cell: 7.387 7.387 2.983 Å, 90.00 90.00 90.00°
Sites, in units of the cell vectors:
Te: 0.000 0.000 0.000
Pt: 0.858 0.642 0.000
Cu: 0.347 0.153 0.500
Pt: 0.142 0.358 0.000
Cu: 0.847 0.347 0.500
Te: 0.500 0.500 0.000
Pt: 0.642 0.142 0.000
Pt: 0.358 0.858 0.000
Cu: 0.653 0.847 0.500
Cu: 0.153 0.653 0.500

Output
Size of the total moment = 0.0 μB per cell
Relative energy among the computed polymorphs = 0.000 eV/atom
Formation energy (no corrections) = -0.021 eV per atom
Calculated density = 13.2 g cm⁻³

=====

Record 5
VASP calculation (GGA-PBE) on a geometry-optimized CuTe2Pt structure.

Cell: 4.858 4.858 4.858 Å, 60.00 60.00 60.00°
Sites, in units of the cell vectors:
Te: 0.750 0.750 0.750
Pt: 0.500 0.500 0.500
Cu: 0.000 0.000 0.000
Te: 0.250 0.250 0.250

Output
Size of the total moment = 0.0 μB per cell
Relative energy among the computed polymorphs = 0.459 eV/atom
Formation energy (no corrections) = 0.308 eV per atom
Calculated density = 10.5 g cm⁻³

=====

Record 6
VASP calculation (GGA-PBE) on a geometry-optimized CuTePt2 structure.

Cell: 3.612 3.609 5.339 Å, 90.00 90.00 90.00°
Sites, in units of the cell vectors:
Pt: 0.500 0.500 0.275
Pt: 0.000 0.000 0.963
Te: 0.000 0.000 0.466
Cu: 0.500 0.500 0.796

Output
Size of the total moment = 0.0 μB per cell
Formation energy (no corrections) = -0.003 eV per atom
Calculated density = 13.9 g cm⁻³

=====

Record 7
VASP calculation (GGA-PBE) on a geometry-optimized CuTe2Pt structure.

Cell: 4.898 4.898 4.898 Å, 60.00 60.00 60.00°
Sites, in units of the cell vectors:
Te: 0.250 0.250 0.250
Te: 0.000 0.000 0.000
Pt: 0.750 0.750 0.750
Cu: 0.500 0.500 0.500

Output
Size of the total moment = 0.0 μB per cell
Relative energy among the computed polymorphs = 0.647 eV/atom
Formation energy (no corrections) = 0.496 eV per atom
Calculated density = 10.3 g cm⁻³

=====

Record 8
VASP calculation (GGA-PBE) on a geometry-optimized CuTe2Pt structure.

Cell: 5.972 5.972 7.306 Å, 65.87 65.87 90.00°
Sites, in units of the cell vectors:
Cu: 0.250 0.750 0.500
Cu: 0.500 0.500 0.000
Pt: 0.750 0.250 0.500
Te: 0.375 0.381 0.750
Pt: 0.000 0.000 0.000
Te: 0.131 0.625 0.250
Te: 0.619 0.125 0.250
Te: 0.875 0.869 0.750

Output
Size of the total moment = 0.0 μB per cell
Relative energy among the computed polymorphs = 0.079 eV/atom
Formation energy (no corrections) = -0.072 eV per atom
Calculated density = 8.0 g cm⁻³